(1)
LiCuSiPt: optimized geometry, PBE.

```
data_LiCuSiPt
_chemical_formula_sum 'Li4 Cu4 Si4 Pt4'
_cell_length_a 5.853
_cell_length_b 5.853
_cell_length_c 5.853
_cell_angle_alpha 90.00
_cell_angle_beta 90.00
_cell_angle_gamma 90.00
_symmetry_space_group_name_H-M 'F -4 3 m'
_symmetry_Int_Tables_number 216
_symmetry_space_group_name_Hall 'F -4 2 3'
loop_
_atom_site_label
_atom_site_fract_x
_atom_site_fract_y
_atom_site_fract_z
Li1 0.000 0.000 0.000
Cu1 0.250 0.250 0.750
Si1 0.000 0.000 0.500
Pt1 0.250 0.250 0.250
```

Calculated values
total energy	-76.6	eV for the cell shown

=====

(2)
HfFeCl6: optimized geometry, PBE.

```
data_HfFeCl6
_chemical_formula_sum 'Hf4 Fe4 Cl24'
_cell_length_a 6.269
_cell_length_b 10.875
_cell_length_c 11.904
_cell_angle_alpha 90.00
_cell_angle_beta 90.16
_cell_angle_gamma 90.00
_symmetry_space_group_name_H-M 'C 1 2/c 1'
_symmetry_Int_Tables_number 15
loop_
_symmetry_equiv_pos_as_xyz
'x,y,z'
'-x,-y,-z'
'-x,y,-z+1/2'
'x,-y,z+1/2'
'x+1/2,y+1/2,z'
'-x+1/2,-y+1/2,-z'
'-x+1/2,y+1/2,-z+1/2'
'x+1/2,-y+1/2,z+1/2'
loop_
_atom_site_label
_atom_site_fract_x
_atom_site_fract_y
_atom_site_fract_z
Hf1 0.000 0.166 0.250
Fe1 0.000 0.499 0.750
Cl1 0.143 0.332 0.369
Cl2 0.177 0.012 0.369
Cl3 0.179 0.345 0.869
```

Calculated values
total energy	-162.3	eV for the cell shown

=====

(3)
BaNdZnS3: optimized geometry, PBE.

```
data_BaNdZnS3
_chemical_formula_sum 'Ba4 Nd4 Zn4 S12'
_cell_length_a 4.117
_cell_length_b 13.881
_cell_length_c 10.696
_cell_angle_alpha 90.00
_cell_angle_beta 90.00
_cell_angle_gamma 90.00
_symmetry_space_group_name_H-M 'C m c m'
_symmetry_Int_Tables_number 63
_symmetry_space_group_name_Hall '-C 2c 2'
loop_
_atom_site_label
_atom_site_fract_x
_atom_site_fract_y
_atom_site_fract_z
Ba1 0.000 0.247 0.250
Nd1 0.000 0.500 0.000
Zn1 0.000 0.028 0.750
S1 0.000 0.136 0.577
S2 0.000 0.434 0.750
```

Calculated values
total energy	-118.0	eV for the cell shown

=====

(4)
Cu2Ag3: optimized geometry, PBE.

```
data_Cu2Ag3
_chemical_formula_sum 'Cu8 Ag12'
_cell_length_a 3.970
_cell_length_b 4.018
_cell_length_c 19.509
_cell_angle_alpha 90.00
_cell_angle_beta 90.00
_cell_angle_gamma 90.00
_symmetry_space_group_name_H-M 'A m m 2'
_symmetry_Int_Tables_number 38
loop_
_symmetry_equiv_pos_as_xyz
'x,y,z'
'-x,-y,z'
'-x,y,z'
'x,-y,z'
'x,y+1/2,z+1/2'
'-x,-y+1/2,z+1/2'
'-x,y+1/2,z+1/2'
'x,-y+1/2,z+1/2'
loop_
_atom_site_label
_atom_site_fract_x
_atom_site_fract_y
_atom_site_fract_z
Cu1 0.000 0.000 0.000
Cu2 0.000 0.000 0.186
Cu3 0.000 0.000 0.587
Cu4 0.500 0.000 0.500
Ag1 0.000 0.000 0.404
Ag2 0.000 0.000 0.791
Ag3 0.500 0.000 0.088
Ag4 0.500 0.000 0.291
Ag5 0.500 0.000 0.686
Ag6 0.500 0.000 0.903
```

Calculated values
total energy	-62.1	eV for the cell shown
energy relative to the elements	0.08	eV/atom

=====

(5)
GdScNO: optimized geometry, PBE.

```
data_GdScNO
_chemical_formula_sum 'Gd2 Sc2 N2 O2'
_cell_length_a 3.937
_cell_length_b 3.937
_cell_length_c 8.079
_cell_angle_alpha 90.00
_cell_angle_beta 90.00
_cell_angle_gamma 90.00
_symmetry_space_group_name_H-M 'P 4/n m m'
_symmetry_Int_Tables_number 129
loop_
_symmetry_equiv_pos_as_xyz
'x,y,z'
'-x,-y,-z'
'-y+1/2,x,z'
'y+1/2,-x,-z'
'-x+1/2,-y+1/2,z'
'x+1/2,y+1/2,-z'
'y,-x+1/2,z'
'-y,x+1/2,-z'
'x+1/2,-y,-z'
'-x+1/2,y,z'
'-y,-x,-z'
'y,x,z'
'-x,y+1/2,-z'
'x,-y+1/2,z'
'y+1/2,x+1/2,-z'
'-y+1/2,-x+1/2,z'
loop_
_atom_site_label
_atom_site_fract_x
_atom_site_fract_y
_atom_site_fract_z
Gd1 0.250 0.250 0.134
Sc1 0.250 0.750 0.500
N1 0.250 0.250 0.625
O1 0.250 0.750 0.000
```

Calculated values
total energy	-64.1	eV for the cell shown

=====

(6)
Sr2In4CuIr: optimized geometry, PBE.

```
data_Sr2In4CuIr
_chemical_formula_sum 'Sr4 In8 Cu2 Ir2'
_cell_length_a 7.926
_cell_length_b 4.474
_cell_length_c 11.205
_cell_angle_alpha 90.00
_cell_angle_beta 90.00
_cell_angle_gamma 90.00
_symmetry_space_group_name_H-M 'A m m 2'
_symmetry_Int_Tables_number 38
loop_
_symmetry_equiv_pos_as_xyz
'x,y,z'
'-x,-y,z'
'-x,y,z'
'x,-y,z'
'x,y+1/2,z+1/2'
'-x,-y+1/2,z+1/2'
'-x,y+1/2,z+1/2'
'x,-y+1/2,z+1/2'
loop_
_atom_site_label
_atom_site_fract_x
_atom_site_fract_y
_atom_site_fract_z
Sr1 0.000 0.000 0.000
Sr2 0.500 0.000 0.117
In1 0.196 0.000 0.715
In2 0.305 0.000 0.406
Cu1 0.500 0.000 0.835
Ir1 0.000 0.000 0.279
```

Calculated values
total energy	-59.5	eV for the cell shown

=====

(7)
GdLu3Ni4: optimized geometry, PBE.

```
data_GdLu3Ni4
_chemical_formula_sum 'Gd1 Lu3 Ni4'
_cell_length_a 5.356
_cell_length_b 4.112
_cell_length_c 6.938
_cell_angle_alpha 90.00
_cell_angle_beta 90.44
_cell_angle_gamma 90.00
_symmetry_space_group_name_H-M 'P 1 m 1'
_symmetry_Int_Tables_number 6
loop_
_symmetry_equiv_pos_as_xyz
'x,y,z'
'x,-y,z'
loop_
_atom_site_label
_atom_site_fract_x
_atom_site_fract_y
_atom_site_fract_z
Gd1 0.000 0.000 0.000
Lu1 0.237 0.000 0.501
Lu2 0.501 0.500 0.143
Lu3 0.735 0.500 0.638
Ni1 0.246 0.500 0.779
Ni2 0.498 0.000 0.856
Ni3 0.739 0.000 0.362
Ni4 0.996 0.500 0.290
```

Calculated values
total energy	-44.5	eV for the cell shown
energy relative to the elements	-0.50	eV/atom

=====

(8)
Cs2NbCuCl6: optimized geometry, PBE.

```
data_Cs2NbCuCl6
_chemical_formula_sum 'Cs8 Nb4 Cu4 Cl24'
_cell_length_a 10.167
_cell_length_b 10.167
_cell_length_c 10.167
_cell_angle_alpha 90.00
_cell_angle_beta 90.00
_cell_angle_gamma 90.00
_symmetry_space_group_name_H-M 'F m -3 m'
_symmetry_Int_Tables_number 225
_symmetry_space_group_name_Hall '-F 4 2 3'
loop_
_atom_site_label
_atom_site_fract_x
_atom_site_fract_y
_atom_site_fract_z
Cs1 0.250 0.250 0.250
Nb1 0.000 0.000 0.000
Cu1 0.000 0.000 0.500
Cl1 0.000 0.000 0.248
```

Calculated values
total energy	-158.6	eV for the cell shown